Density functional theory data (GGA-PBEsol) for a relaxed MgZn2 crystal.

Properties
Total DFT energy (no corrections) = -1.662 eV per atom
Formation energy from the elements = -0.035 eV/atom

Lattice parameters (Å, degrees): 4.008 4.008 12.411 99.29 99.29 90.00
Fractional coordinates of all 12 atoms:
Zn1 0.751 0.751 0.502
Zn2 0.001 0.501 0.002
Zn3 0.419 0.419 0.838
Zn4 0.499 0.999 0.998
Zn5 0.669 0.169 0.338
Zn6 0.581 0.581 0.162
Zn7 0.249 0.249 0.498
Zn8 0.831 0.331 0.662
Mg1 0.330 0.830 0.660
Mg2 0.080 0.080 0.160
Mg3 0.920 0.920 0.840
Mg4 0.170 0.670 0.340

---

Density functional theory data (GGA-PBEsol) for a relaxed MgZn crystal.

Properties
Total DFT energy (no corrections) = -1.635 eV per atom
Formation energy from the elements = 0.014 eV/atom

Lattice parameters (Å, degrees): 3.051 3.051 8.916 90.00 90.00 120.00
Fractional coordinates of all 4 atoms:
Zn1 0.333 0.667 0.250
Zn2 0.667 0.333 0.750
Mg1 0.000 0.000 0.500
Mg2 0.000 0.000 0.000

---

Density functional theory data (GGA-PBEsol) for a relaxed MgZn5 crystal.

Properties
Total DFT energy (no corrections) = -1.603 eV per atom
Formation energy from the elements = 0.001 eV/atom

Lattice parameters (Å, degrees): 2.823 5.326 6.481 105.04 90.00 105.37
Fractional coordinates of all 6 atoms:
Zn1 0.052 0.105 0.604
Zn2 0.996 0.992 0.005
Zn3 0.668 0.337 0.338
Zn4 0.337 0.674 0.661
Zn5 0.394 0.789 0.286
Mg1 0.718 0.437 0.940

---

Density functional theory data (GGA-PBEsol) for a relaxed MgZn crystal.

Properties
Total DFT energy (no corrections) = -1.464 eV per atom
Formation energy from the elements = 0.186 eV/atom

Lattice parameters (Å, degrees): 2.983 2.983 9.986 90.00 90.00 120.00
Fractional coordinates of all 4 atoms:
Mg1 0.333 0.667 0.178
Mg2 0.667 0.333 0.678
Zn1 0.333 0.667 0.451
Zn2 0.667 0.333 0.951

---

Density functional theory data (GGA-PBEsol) for a relaxed Mg3Zn crystal.

Properties
Total DFT energy (no corrections) = -1.677 eV per atom
Formation energy from the elements = 0.007 eV/atom

Lattice parameters (Å, degrees): 4.881 6.108 6.108 119.37 90.00 90.00
Fractional coordinates of all 8 atoms:
Mg1 0.750 0.417 0.100
Mg2 0.250 0.100 0.417
Mg3 0.750 0.900 0.583
Mg4 0.750 0.913 0.087
Mg5 0.250 0.087 0.913
Mg6 0.250 0.583 0.900
Zn1 0.250 0.588 0.412
Zn2 0.750 0.412 0.588

---

Density functional theory data (GGA-PBEsol) for a relaxed Mg3Zn crystal.

Properties
Total DFT energy (no corrections) = -1.316 eV per atom
Formation energy from the elements = 0.368 eV/atom

Lattice parameters (Å, degrees): 5.053 5.053 5.053 90.00 90.00 90.00
Fractional coordinates of all 4 atoms:
Mg1 0.500 0.000 0.000
Mg2 0.000 0.500 0.000
Mg3 0.000 0.000 0.500
Zn1 0.000 0.000 0.000

---

Density functional theory data (GGA-PBEsol) for a relaxed MgZn5 crystal.

Properties
Total DFT energy (no corrections) = -1.602 eV per atom
Formation energy from the elements = 0.002 eV/atom

Lattice parameters (Å, degrees): 2.820 4.450 7.336 90.00 101.08 90.00
Fractional coordinates of all 6 atoms:
Zn1 0.439 0.500 0.879
Zn2 0.781 0.500 0.561
Zn3 0.997 0.000 0.993
Zn4 0.672 0.000 0.345
Zn5 0.333 0.000 0.666
Mg1 0.111 0.500 0.222

---

Density functional theory data (GGA-PBEsol) for a relaxed MgZn5 crystal.

Properties
Total DFT energy (no corrections) = -1.622 eV per atom
Formation energy from the elements = -0.017 eV/atom

Lattice parameters (Å, degrees): 3.961 3.941 6.126 90.00 108.86 90.00
Fractional coordinates of all 6 atoms:
Zn1 0.174 0.000 0.348
Zn2 0.330 0.500 0.661
Zn3 0.000 0.500 0.000
Zn4 0.670 0.500 0.339
Zn5 0.826 0.000 0.652
Mg1 0.500 0.000 0.000

---

Density functional theory data (GGA-PBEsol) for a relaxed MgZn crystal.

Properties
Total DFT energy (no corrections) = -1.684 eV per atom
Formation energy from the elements = -0.034 eV/atom

Lattice parameters (Å, degrees): 2.974 5.346 7.272 107.53 90.00 106.15
Fractional coordinates of all 6 atoms:
Zn1 0.996 0.993 0.000
Zn2 0.408 0.815 0.243
Zn3 0.327 0.653 0.704
Mg1 0.713 0.425 0.945
Mg2 0.699 0.398 0.355
Mg3 0.025 0.049 0.585

---

Density functional theory data (GGA-PBEsol) for a relaxed Mg2Zn11 crystal.

Properties
Total DFT energy (no corrections) = -1.680 eV per atom
Formation energy from the elements = -0.077 eV/atom

Lattice parameters (Å, degrees): 8.381 8.381 8.381 90.00 90.00 90.00
Fractional coordinates of all 39 atoms:
Zn1 0.500 0.000 0.340
Zn2 0.730 0.500 0.500
Zn3 0.270 0.500 0.500
Zn4 0.500 0.500 0.730
Zn5 0.000 0.157 0.735
Zn6 0.265 0.000 0.843
Zn7 0.735 0.000 0.157
Zn8 0.282 0.718 0.718
Zn9 0.500 0.730 0.500
Zn10 0.157 0.265 0.000
Zn11 0.340 0.500 0.000
Zn12 0.500 0.000 0.660
Zn13 0.282 0.282 0.282
Zn14 0.000 0.843 0.735
Zn15 0.735 0.000 0.843
Zn16 0.000 0.340 0.500
Zn17 0.282 0.282 0.718
Zn18 0.718 0.718 0.282
Zn19 0.265 0.000 0.157
Zn20 0.000 0.660 0.500
Zn21 0.718 0.718 0.718
Zn22 0.000 0.843 0.265
Zn23 0.157 0.735 0.000
Zn24 0.500 0.500 0.270
Zn25 0.718 0.282 0.718
Zn26 0.718 0.282 0.282
Zn27 0.282 0.718 0.282
Zn28 0.000 0.000 0.000
Zn29 0.843 0.735 0.000
Zn30 0.000 0.157 0.265
Zn31 0.500 0.270 0.500
Zn32 0.843 0.265 0.000
Zn33 0.660 0.500 0.000
Mg1 0.000 0.500 0.802
Mg2 0.500 0.198 0.000
Mg3 0.500 0.802 0.000
Mg4 0.198 0.000 0.500
Mg5 0.000 0.500 0.198
Mg6 0.802 0.000 0.500

---

Density functional theory data (GGA-PBEsol) for a relaxed MgZn crystal.

Properties
Total DFT energy (no corrections) = -1.683 eV per atom
Formation energy from the elements = -0.034 eV/atom

Lattice parameters (Å, degrees): 3.116 4.678 5.596 114.71 106.17 90.00
Fractional coordinates of all 4 atoms:
Zn1 0.857 0.607 0.714
Zn2 0.143 0.393 0.286
Mg1 0.392 0.142 0.783
Mg2 0.608 0.858 0.217

---

Density functional theory data (GGA-PBEsol) for a relaxed Mg5Zn24 crystal.

Properties
Total DFT energy (no corrections) = -1.661 eV per atom
Formation energy from the elements = -0.056 eV/atom

Lattice parameters (Å, degrees): 8.284 8.284 8.284 109.47 109.47 109.47
Fractional coordinates of all 29 atoms:
Zn1 0.322 0.602 0.000
Zn2 0.809 0.000 0.624
Zn3 0.809 0.624 0.000
Zn4 0.815 0.191 0.191
Zn5 0.602 0.000 0.322
Zn6 0.398 0.398 0.721
Zn7 0.376 0.376 0.185
Zn8 0.322 0.000 0.602
Zn9 0.624 0.000 0.809
Zn10 0.000 0.809 0.624
Zn11 0.376 0.185 0.376
Zn12 0.721 0.398 0.398
Zn13 0.602 0.322 0.000
Zn14 0.678 0.678 0.279
Zn15 0.000 0.602 0.322
Zn16 0.000 0.322 0.602
Zn17 0.191 0.815 0.191
Zn18 0.279 0.678 0.678
Zn19 0.678 0.279 0.678
Zn20 0.398 0.721 0.398
Zn21 0.624 0.809 0.000
Zn22 0.185 0.376 0.376
Zn23 0.191 0.191 0.815
Zn24 0.000 0.624 0.809
Mg1 0.000 0.372 0.000
Mg2 0.000 0.000 0.372
Mg3 0.372 0.000 0.000
Mg4 0.628 0.628 0.628
Mg5 0.000 0.000 0.000